# 1
Below is V2BPbO8 after structural relaxation, with properties calculated at the GGA+U level.

```
12
Lattice="5.2404 0.0000 0.0000 -2.6202 4.5383 0.0000 0.0000 0.0000 6.7151" Properties=species:S:1:pos:R:3 pbc="T T T"
V 0.0000 3.0255 1.5114
V 2.6202 1.5128 5.2038
B 0.0000 0.0000 0.0000
Pb 0.0000 0.0000 3.3576
O 0.0000 1.3527 0.9902
O -1.4487 3.8620 0.9902
O 1.1714 0.6763 5.7250
O 0.0000 3.0255 3.2110
O 2.6202 1.5128 3.5041
O 1.4487 3.8620 0.9902
O 4.0689 0.6763 5.7250
O 2.6202 3.1856 5.7250
```

Output
- crystal system = trigonal



# 2
Below is V3B4PbO12 after structural relaxation, with properties calculated at the GGA+U level.

```
20
Lattice="4.8611 2.8066 2.5951 -4.8611 2.8066 2.5951 0.0000 -5.6131 2.5951" Properties=species:S:1:pos:R:3 pbc="T T T"
V -2.7089 -0.9211 2.5951
V 2.1522 -1.8854 2.5951
V 0.5568 2.8065 2.5951
B -2.1410 -3.7084 3.8927
B 0.0000 0.0000 3.8927
B -2.1410 3.7084 3.8927
B 4.2821 0.0000 3.8927
Pb 0.0000 0.0000 0.0000
O -2.8363 -2.5506 3.6668
O -4.0304 0.0000 3.8927
O -0.7908 -3.7316 4.1186
O -1.3915 0.0000 3.8927
O -2.8363 2.5506 4.1186
O 2.0152 -3.4904 3.8927
O 0.6958 -1.2051 3.8927
O -0.7908 3.7316 3.6668
O 0.6958 1.2051 3.8927
O 3.6271 -1.1810 3.6668
O 2.0152 3.4904 3.8927
O 3.6271 1.1810 4.1186
```

Output
- crystal system = trigonal



# 3
Below is VBPb4O8 after structural relaxation, with properties calculated at the GGA+U level.

```
56
Lattice="10.6192 0.0000 0.0000 0.0000 7.3240 0.0000 -5.0847 0.0000 12.0881" Properties=species:S:1:pos:R:3 pbc="T T T"
V -0.9359 1.7916 4.8132
V -3.4783 1.8704 10.8572
V 9.0128 5.4536 1.2309
V 6.4705 5.5324 7.2749
B 4.2133 5.4299 1.7329
B 1.6710 5.5561 7.7769
B 3.8636 1.7679 4.3112
B 1.3212 1.8941 10.3552
Pb -0.6348 5.3349 5.2710
Pb -3.1772 5.6511 11.3151
Pb -1.2080 3.7597 8.8795
Pb 1.3343 7.2263 2.8354
Pb -0.9697 0.0285 8.4898
Pb 1.5726 3.6335 2.4458
Pb 4.4447 1.3524 0.9402
Pb 1.9024 2.3096 6.9842
Pb 3.6322 5.0144 5.1039
Pb 1.0898 5.9716 11.1479
Pb 3.9620 3.6905 9.6423
Pb 6.5043 7.2955 3.5982
Pb 4.2003 0.0977 9.2526
Pb 6.7426 3.5643 3.2086
Pb 8.7117 1.6729 0.7730
Pb 6.1694 1.9891 6.8170
O 0.0792 4.9669 1.1537
O -2.4631 6.0191 7.1977
O -3.1649 1.1011 9.3396
O -0.6225 2.5609 3.2955
O 1.9703 0.7255 0.0400
O -0.5721 2.9366 6.0840
O 0.1561 0.4233 5.0032
O -2.3863 3.2387 11.0472
O 1.4606 5.2398 4.0612
O -1.0817 5.7462 10.1053
O 2.8563 5.4965 1.4177
O 0.3140 5.4895 7.4618
O 3.4452 0.7627 3.4580
O 0.9029 2.8993 9.5020
O 0.4469 0.9306 10.8755
O 2.9893 2.7314 4.8314
O 2.5453 4.5927 7.2566
O 5.0876 6.3934 1.2126
O 4.6317 4.4247 2.5860
O 2.0893 6.5614 8.6301
O 5.2206 1.8345 4.6263
O 2.6783 1.8275 10.6703
O 6.6163 1.5778 1.9828
O 4.0739 2.0842 8.0268
O 7.9208 4.0853 1.0409
O 5.3785 6.9007 7.0849
O 6.1066 4.3875 6.0041
O 3.5643 6.5986 12.0481
O 6.1571 4.7631 8.7925
O 8.6994 6.2229 2.7485
O 7.9977 1.3049 4.8903
O 5.4553 2.3571 10.9344
```

Output
- crystal system = monoclinic



# 4
Below is V2BPbO6 after structural relaxation, with properties calculated at the GGA+U level.

```
20
Lattice="4.4145 -5.4309 0.0000 4.4145 5.4309 0.0000 -2.4937 0.0000 5.4388" Properties=species:S:1:pos:R:3 pbc="T T T"
V 0.8456 0.9345 0.7084
V -0.4012 -0.9345 3.4278
V 6.7365 0.9345 2.0110
V 5.4897 -0.9345 4.7303
B 3.7911 2.0549 1.3597
B 2.5442 -2.0549 4.0791
Pb 2.5442 1.1274 4.0791
Pb 3.7911 -1.1274 1.3597
O -0.0075 0.6271 2.4786
O 3.6856 2.8422 0.1267
O -1.2544 -0.6271 5.1980
O 2.6054 1.1227 1.5043
O 3.8966 2.8422 2.5927
O 1.3586 -1.1227 4.2236
O 4.9767 1.1227 1.2151
O 2.4387 -2.8422 2.8461
O 3.7299 -1.1227 3.9345
O 7.5896 0.6271 0.2408
O 2.6497 -2.8422 5.3120
O 6.3428 -0.6271 2.9602
```

Output
- crystal system = monoclinic



# 5
Below is B2Pb6WO12 after structural relaxation, with properties calculated at the GGA+U level.

```
42
Lattice="9.4340 -3.2212 0.0000 9.4340 3.2212 0.0000 0.0000 0.0000 12.1005" Properties=species:S:1:pos:R:3 pbc="T T T"
B 4.6413 0.0000 0.0000
B 4.6413 0.0000 6.0502
B 14.2267 0.0000 0.0000
B 14.2267 0.0000 6.0502
Pb 3.9449 1.2880 9.0754
Pb 7.3878 1.5500 7.1902
Pb 7.3878 1.5500 10.9605
Pb 11.4803 1.5500 7.1902
Pb 11.4803 1.5500 10.9605
Pb 3.9449 -1.2880 3.0251
Pb 14.9231 1.2880 9.0754
Pb 7.3878 -1.5500 1.1400
Pb 7.3878 -1.5500 4.9103
Pb 11.4803 -1.5500 1.1400
Pb 11.4803 -1.5500 4.9103
Pb 14.9231 -1.2880 3.0251
W 9.4340 1.7744 3.0251
W 9.4340 -1.7744 9.0754
O 2.8688 0.8441 3.0251
O 9.4340 2.8305 1.5477
O 9.4340 2.8305 4.5025
O 3.2359 0.0000 0.0000
O 3.2359 0.0000 6.0502
O 5.3197 0.3584 7.2040
O 5.3197 0.3584 10.9468
O 2.8688 -0.8441 9.0754
O 7.9605 0.6858 3.0251
O 5.3197 -0.3584 1.1537
O 5.3197 -0.3584 4.8965
O 10.9075 0.6858 3.0251
O 7.9605 -0.6858 9.0754
O 13.5483 0.3584 7.2040
O 13.5483 0.3584 10.9468
O 10.9075 -0.6858 9.0754
O 15.9992 0.8441 3.0251
O 13.5483 -0.3584 1.1537
O 13.5483 -0.3584 4.8965
O 15.6322 0.0000 0.0000
O 15.6322 0.0000 6.0502
O 9.4340 -2.8305 7.5980
O 9.4340 -2.8305 10.5527
O 15.9992 -0.8441 9.0754
```

Output
- crystal system = orthorhombic



# 6
Below is B2PbWO8 after structural relaxation, with properties calculated at the GGA+U level.

```
12
Lattice="3.9428 -2.5798 0.0000 3.9428 2.5798 0.0000 -0.4920 0.0000 6.7513" Properties=species:S:1:pos:R:3 pbc="T T T"
B 1.1602 0.0000 1.5648
B 6.2334 0.0000 5.1865
Pb 3.6968 0.0000 3.3756
W 3.9428 0.0000 0.0000
O 3.1648 1.3528 5.3279
O 1.6886 0.0000 2.9180
O 2.1398 0.0000 0.5115
O 4.2289 1.3528 1.4234
O 3.1648 -1.3528 5.3279
O 5.2538 0.0000 6.2398
O 5.7050 0.0000 3.8333
O 4.2289 -1.3528 1.4234
```

Output
- crystal system = monoclinic



| no. | calculated total energy (eV per formula unit) |
| --- | --- |
| 1 | -81.907 |
| 2 | -154.990 |
| 3 | -91.439 |
| 4 | -73.495 |
| 5 | -137.102 |
| 6 | -84.858 |